# 1
# LiGaSn | Alexandria via LeMat-Bulk | GGA-PBE | optimized geometry
data_LiGaSn
_chemical_formula_sum 'Li2 Ga2 Sn2'
_cell_length_a 5.717
_cell_length_b 5.717
_cell_length_c 4.892
_cell_angle_alpha 114.41
_cell_angle_beta 114.41
_cell_angle_gamma 62.60
_space_group_name_H-M_alt 'P 1'
_space_group_IT_number 1
_space_group_name_Hall 'P 1'
loop_
_atom_site_label
_atom_site_type_symbol
_atom_site_fract_x
_atom_site_fract_y
_atom_site_fract_z
Li1 Li 0.249 0.751 0.000
Li2 Li 0.751 0.249 0.000
Ga1 Ga 0.692 0.692 0.786
Ga2 Ga 0.810 0.810 0.400
Sn1 Sn 0.143 0.143 0.639
Sn2 Sn 0.360 0.360 0.353
# - Electronic total energy: -3.15 eV/atom
# - SG: Cm (8)
# - Crystal system: monoclinic
# - ΔH_f (0 K): -0.52 eV/f.u.



# 2
# HfTi2SnO | Alexandria via LeMat-Bulk | GGA-PBE | optimized geometry
data_HfTi2SnO
_chemical_formula_sum 'Hf1 Ti2 Sn1 O1'
_cell_length_a 4.162
_cell_length_b 4.162
_cell_length_c 4.589
_cell_angle_alpha 90.00
_cell_angle_beta 90.00
_cell_angle_gamma 90.00
_space_group_name_H-M_alt 'P 1'
_space_group_IT_number 1
_space_group_name_Hall 'P 1'
loop_
_atom_site_label
_atom_site_type_symbol
_atom_site_fract_x
_atom_site_fract_y
_atom_site_fract_z
Hf1 Hf 0.000 0.000 0.000
Ti1 Ti 0.000 0.500 0.500
Ti2 Ti 0.500 0.000 0.500
Sn1 Sn 0.500 0.500 0.000
O1 O 0.000 0.000 0.500
# - Electronic total energy: -8.05 eV/atom
# - SG: P4/mmm (123)
# - Crystal system: tetragonal
# - Uncorrected formation energy: -5.54 eV/f.u.



# 3
# Pr8Zn2Cd | Alexandria via LeMat-Bulk | GGA-PBE | optimized geometry
data_Pr8Zn2Cd
_chemical_formula_sum 'Pr8 Zn2 Cd1'
_cell_length_a 8.748
_cell_length_b 8.748
_cell_length_c 8.723
_cell_angle_alpha 118.90
_cell_angle_beta 118.90
_cell_angle_gamma 36.62
_space_group_name_H-M_alt 'P 1'
_space_group_IT_number 1
_space_group_name_Hall 'P 1'
loop_
_atom_site_label
_atom_site_type_symbol
_atom_site_fract_x
_atom_site_fract_y
_atom_site_fract_z
Pr1 Pr 0.071 0.071 0.224
Pr2 Pr 0.143 0.143 0.707
Pr3 Pr 0.317 0.317 0.541
Pr4 Pr 0.400 0.400 0.044
Pr5 Pr 0.600 0.600 0.956
Pr6 Pr 0.683 0.683 0.459
Pr7 Pr 0.857 0.857 0.293
Pr8 Pr 0.929 0.929 0.776
Zn1 Zn 0.228 0.228 0.122
Zn2 Zn 0.772 0.772 0.878
Cd1 Cd 0.500 0.500 0.500
# - Electronic total energy: -3.93 eV/atom
# - SG: C2/m (12)
# - ΔE to the lowest computed polymorph: 0.0 meV/atom
# - Crystal system: monoclinic
# - ΔH_f (0 K): -1.54 eV/f.u.



# 4
# Ti2TlTe2 | Alexandria via LeMat-Bulk | GGA-PBE | optimized geometry
data_Ti2TlTe2
_chemical_formula_sum 'Ti2 Tl1 Te2'
_cell_length_a 8.283
_cell_length_b 8.283
_cell_length_c 8.283
_cell_angle_alpha 150.88
_cell_angle_beta 150.88
_cell_angle_gamma 41.65
_space_group_name_H-M_alt 'P 1'
_space_group_IT_number 1
_space_group_name_Hall 'P 1'
loop_
_atom_site_label
_atom_site_type_symbol
_atom_site_fract_x
_atom_site_fract_y
_atom_site_fract_z
Ti1 Ti 0.250 0.750 0.500
Ti2 Ti 0.750 0.250 0.500
Tl1 Tl 0.000 0.000 0.000
Te1 Te 0.369 0.369 0.000
Te2 Te 0.631 0.631 0.000
# - Electronic total energy: -5.27 eV/atom
# - SG: I4/mmm (139)
# - ΔE to the lowest computed polymorph: 0.0 meV/atom
# - Crystal system: tetragonal
# - Uncorrected formation energy: -1.90 eV/f.u.